# ZrNbF2 (PBE, relaxed)
data_ZrNbF2
_symmetry_space_group_name_H-M 'I -4 2 d'
_symmetry_Int_Tables_number 122
_symmetry_space_group_name_Hall 'I -4 2bw'
_cell_length_a 4.904
_cell_length_b 4.904
_cell_length_c 10.453
_cell_angle_alpha 90.00
_cell_angle_beta 90.00
_cell_angle_gamma 90.00
loop_
_atom_site_label
_atom_site_type_symbol
_atom_site_fract_x
_atom_site_fract_y
_atom_site_fract_z
_atom_site_occupancy
Zr1 Zr 0.000 0.000 0.000 1
Nb1 Nb 0.000 0.000 0.500 1
F1 F 0.238 0.250 0.125 1
# total moment: 0.00 μB/cell
# energy relative to the elements, uncorrected: -1.037 eV per atom
# excess energy over the best structure of this formula in the dataset: 12.99 kcal/mol of atoms
# electronic total energy: -6.63 eV per atom